{"formula": "Na3SnPd2O6", "functional": "PBE", "state": "relaxed", "lattice": [[5.5103, 0.2716, -0.1364], [-2.5186, 4.9085, -0.1364], [-1.1247, -1.9474, 5.5441]], "species": ["Na", "Na", "Na", "Sn", "Pd", "Pd", "O", "O", "O", "O", "O", "O"], "fractional_positions": [[0.1738, 0.8262, 0.5000], [0.8262, 0.1738, 0.5000], [0.5000, 0.5000, 0.5000], [0.0000, 0.0000, 0.0000], [0.3314, 0.6686, 0.0000], [0.6686, 0.3314, 0.0000], [0.9651, 0.6346, 0.7711], [0.7369, 0.7369, 0.1909], [0.0349, 0.3654, 0.2289], [0.6346, 0.9651, 0.7711], [0.2631, 0.2631, 0.8091], [0.3654, 0.0349, 0.2289]], "raw_formation_energy_ev_per_atom": -1.141, "sg": "C2/m", "magmom_total_mub_per_atom": 0.0879}